Entry 1:
The following is a PBE calculation of a relaxed NaSr2ScTe4 crystal, from the Alexandria database.

Energy relative to the elements, uncorrected: -1.390 eV/atom
Crystal system: monoclinic
Total magnetic moment: 0.0 μB/f.u.

a = 4.531 Å, b = 7.916 Å, c = 7.777 Å
α = 108.65°, β = 90.00°, γ = 90.00°
Fractional coordinates of all 8 atoms:
1 Na 0.500 0.500 0.000
2 Te 0.000 0.239 0.773
3 Te 0.000 0.761 0.227
4 Te 0.500 0.771 0.780
5 Te 0.500 0.229 0.220
6 Sc 0.000 0.000 0.000
7 Sr 0.500 0.000 0.500
8 Sr 0.000 0.500 0.500

Entry 2:
The following is a PBE calculation of a relaxed YHoEr2Tm crystal, from the Alexandria database.

Crystal system: orthorhombic
Total magnetic moment: 0.0 μB/f.u.
DFT formation energy: 0.40 eV per atom

a = 7.155 Å, b = 8.268 Å, c = 7.016 Å
α = 126.10°, β = 90.00°, γ = 90.00°
Fractional coordinates of all 10 atoms:
1 Tm 0.750 0.010 0.019
2 Tm 0.250 0.990 0.981
3 Er 0.500 0.309 0.000
4 Er 0.500 0.691 0.000
5 Er 0.000 0.309 0.000
6 Er 0.000 0.691 0.000
7 Ho 0.750 0.282 0.564
8 Ho 0.250 0.718 0.436
9 Y 0.250 0.270 0.540
10 Y 0.750 0.730 0.460

Entry 3:
The following is a PBE calculation of a relaxed LuMgIrAu crystal, from the Alexandria database.

Crystal system: cubic
Total magnetic moment: 0.0 μB/f.u.
DFT formation energy: -0.68 eV per atom

a = 4.722 Å, b = 4.722 Å, c = 4.722 Å
α = 60.00°, β = 60.00°, γ = 60.00°
Fractional coordinates of all 4 atoms:
1 Au 0.000 0.000 0.000
2 Mg 0.250 0.250 0.250
3 Ir 0.500 0.500 0.500
4 Lu 0.750 0.750 0.750

Entry 4:
The following is a PBE calculation of a relaxed LaFe2Cu crystal, from the Alexandria database.

Crystal system: tetragonal
Total magnetic moment: 4.2 μB/f.u.
DFT formation energy: 0.38 eV per atom

a = 4.967 Å, b = 4.967 Å, c = 4.967 Å
α = 131.75°, β = 131.75°, γ = 70.62°
Last column: magnetic moment on the atom in μB.
Fractional coordinates of all 4 atoms:
1 La 0.500 0.500 0.000  -0.20
2 Fe 0.000 0.000 0.000  2.21
3 Fe 0.250 0.750 0.500  2.44
4 Cu 0.750 0.250 0.500  -0.01

Entry 5:
The following is a PBE calculation of a relaxed CaAcTbMg crystal, from the Alexandria database.

Crystal system: cubic
Total magnetic moment: 0.0 μB/f.u.
DFT formation energy: 0.06 eV per atom

a = 5.809 Å, b = 5.809 Å, c = 5.809 Å
α = 60.00°, β = 60.00°, γ = 60.00°
Fractional coordinates of all 4 atoms:
1 Ac 0.750 0.750 0.750
2 Tb 0.250 0.250 0.250
3 Mg 0.000 0.000 0.000
4 Ca 0.500 0.500 0.500

Entry 6:
The following is a PBE calculation of a relaxed BaZn2TeO crystal, from the Alexandria database.

Energy relative to the elements, uncorrected: -0.731 eV/atom
Crystal system: tetragonal
Total magnetic moment: 0.0 μB/f.u.

a = 4.749 Å, b = 5.413 Å, c = 4.749 Å
α = 90.00°, β = 90.00°, γ = 90.00°
Fractional coordinates of all 5 atoms:
1 Zn 0.500 0.000 0.000
2 Zn 0.000 0.000 0.500
3 Te 0.500 0.500 0.500
4 Ba 0.000 0.500 0.000
5 O 0.000 0.000 0.000

Entry 7:
The following is a PBE calculation of a relaxed Ti2Mn2Ag crystal, from the Alexandria database.

Crystal system: tetragonal
Total magnetic moment: 3.1 μB/f.u.
DFT formation energy: 0.22 eV per atom

a = 7.275 Å, b = 7.275 Å, c = 2.925 Å
α = 90.00°, β = 90.00°, γ = 90.00°
Last column: magnetic moment on the atom in μB.
Fractional coordinates of all 10 atoms:
1 Mn 0.646 0.854 0.500  2.26
2 Mn 0.354 0.146 0.500  2.26
3 Mn 0.146 0.646 0.500  2.27
4 Mn 0.854 0.354 0.500  2.27
5 Ag 0.500 0.500 0.000  -0.04
6 Ag 0.000 0.000 0.000  -0.04
7 Ti 0.143 0.357 0.000  -0.66
8 Ti 0.357 0.857 0.000  -0.65
9 Ti 0.643 0.143 0.000  -0.65
10 Ti 0.857 0.643 0.000  -0.66

Entry 8:
The following is a PBE calculation of a relaxed SmHoAlSi crystal, from the Alexandria database.

Energy relative to the elements, uncorrected: -0.632 eV/atom
Crystal system: orthorhombic
Total magnetic moment: 0.0 μB/f.u.

a = 4.370 Å, b = 4.009 Å, c = 5.900 Å
α = 90.00°, β = 111.74°, γ = 90.00°
Fractional coordinates of all 4 atoms:
1 Ho 0.861 0.500 0.722
2 Sm 0.144 0.000 0.288
3 Si 0.425 0.000 0.851
4 Al 0.570 0.500 0.139

Entry 9:
The following is a PBE calculation of a relaxed KIr crystal, from the Alexandria database.

Crystal system: tetragonal
Total magnetic moment: 1.8 μB/f.u.
DFT formation energy: 1.38 eV per atom

a = 6.829 Å, b = 6.829 Å, c = 6.575 Å
α = 90.00°, β = 90.00°, γ = 90.00°
Last column: magnetic moment on the atom in μB.
Fractional coordinates of all 8 atoms:
1 Ir 0.120 0.880 0.500  1.52
2 Ir 0.880 0.120 0.500  1.52
3 Ir 0.620 0.620 0.000  1.52
4 Ir 0.380 0.380 0.000  1.52
5 K 0.683 0.683 0.500  0.00
6 K 0.183 0.817 0.000  0.00
7 K 0.317 0.317 0.500  0.00
8 K 0.817 0.183 0.000  0.00

Entry 10:
The following is a PBE calculation of a relaxed Ac2Y2Ho crystal, from the Alexandria database.

Crystal system: triclinic
Total magnetic moment: 0.0 μB/f.u.
DFT formation energy: 0.06 eV per atom

a = 12.855 Å, b = 6.582 Å, c = 10.033 Å
α = 109.19°, β = 146.79°, γ = 89.98°
Fractional coordinates of all 10 atoms:
1 Ac 0.261 0.291 0.913
2 Ac 0.739 0.709 0.087
3 Ac 0.759 0.118 0.908
4 Ac 0.241 0.882 0.092
5 Ho 0.758 0.517 0.707
6 Ho 0.242 0.483 0.293
7 Y 0.751 0.926 0.502
8 Y 0.255 0.688 0.703
9 Y 0.745 0.312 0.297
10 Y 0.249 0.074 0.498

Entry 11:
The following is a PBE calculation of a relaxed CaCu3P crystal, from the Alexandria database.

Crystal system: cubic
Total magnetic moment: 0.0 μB/f.u.
DFT formation energy: 1.57 eV per atom

a = 4.867 Å, b = 4.867 Å, c = 4.867 Å
α = 90.00°, β = 90.00°, γ = 90.00°
Fractional coordinates of all 5 atoms:
1 Cu 0.500 0.000 0.000
2 Cu 0.000 0.000 0.500
3 Cu 0.000 0.500 0.000
4 P 0.500 0.500 0.500
5 Ca 0.000 0.000 0.000

Entry 12:
The following is a PBE calculation of a relaxed BeNbCu crystal, from the Alexandria database.

Crystal system: monoclinic
Total magnetic moment: 0.0 μB/f.u.
DFT formation energy: 0.02 eV per atom

a = 5.344 Å, b = 2.606 Å, c = 5.997 Å
α = 77.53°, β = 96.13°, γ = 75.82°
Fractional coordinates of all 6 atoms:
1 Be 0.493 0.923 0.963
2 Be 0.779 0.588 0.348
3 Nb 0.973 0.151 0.027
4 Nb 0.195 0.754 0.600
5 Cu 0.413 0.316 0.259
6 Cu 0.681 0.987 0.650